Record 1
Below is a relaxed structure of Ti5Rh2Au2, with properties calculated at the PBE-GGA level.

Properties
crystal system: orthorhombic
total moment: 0.00 μB/f.u.
final energy: -128.947 eV per cell
space group: No. 64
E_form: -0.42 eV per atom

a b c (Å): 7.978 7.978 6.993
angles (deg): 90.00 90.00 44.23
Element x y z (fractional)
Ti 0.000 0.000 0.000
Ti 0.044 0.694 0.681
Ti 0.194 0.544 0.181
Ti 0.306 0.956 0.681
Ti 0.456 0.806 0.181
Ti 0.500 0.500 0.500
Ti 0.544 0.194 0.819
Ti 0.694 0.044 0.319
Ti 0.806 0.456 0.819
Ti 0.956 0.306 0.319
Rh 0.125 0.875 0.345
Rh 0.375 0.625 0.845
Rh 0.625 0.375 0.155
Rh 0.875 0.125 0.655
Au 0.218 0.218 0.000
Au 0.282 0.282 0.500
Au 0.718 0.718 0.500
Au 0.782 0.782 0.000

---

Record 2
Below is a relaxed structure of NbAg2I8, with properties calculated at the PBE-GGA level.

Properties
crystal system: monoclinic
total moment: 0.28 μB/f.u.
final energy: -30.955 eV per cell
space group: No. 12
formation energy from raw total energies: -252.8 meV per atom

a b c (Å): 8.718 8.718 6.517
angles (deg): 92.37 92.37 93.21
Element x y z (fractional)
Nb 0.000 0.000 0.000
Ag 0.253 0.253 0.700
Ag 0.747 0.747 0.300
I 0.070 0.746 0.233
I 0.195 0.195 0.252
I 0.254 0.930 0.767
I 0.482 0.482 0.749
I 0.518 0.518 0.251
I 0.746 0.070 0.233
I 0.805 0.805 0.748
I 0.930 0.254 0.767

---

Record 3
Below is a relaxed structure of MnCr2N, with properties calculated at the PBE-GGA level.

Properties
crystal system: tetragonal
total moment: 0.00 μB/f.u.
final energy: -70.701 eV per cell
space group: No. 122
formation energy from raw total energies: 347.8 meV per atom

a b c (Å): 5.311 5.311 5.311
angles (deg): 124.28 124.28 82.73
Element x y z (fractional)
Mn 0.000 0.000 0.000
Mn 0.750 0.250 0.500
Cr 0.191 0.625 0.066
Cr 0.375 0.441 0.566
Cr 0.559 0.125 0.934
Cr 0.875 0.809 0.434
N 0.250 0.750 0.500
N 0.500 0.500 0.000

---

Record 4
Below is a relaxed structure of AcPrTmTl, with properties calculated at the PBE-GGA level.

Properties
crystal system: cubic
total moment: 0.00 μB/f.u.
final energy: -15.583 eV per cell
space group: No. 216
E_form: 0.04 eV per atom

a b c (Å): 5.675 5.675 5.675
angles (deg): 60.00 60.00 60.00
Element x y z (fractional)
Ac 0.000 0.000 0.000
Pr 0.750 0.750 0.750
Tm 0.250 0.250 0.250
Tl 0.500 0.500 0.500

---

Record 5
Below is a relaxed structure of CsSn5Au3, with properties calculated at the PBE-GGA level.

Properties
crystal system: orthorhombic
total moment: 0.00 μB/f.u.
final energy: -64.546 eV per cell
space group: No. 63
E_form: -0.17 eV per atom

a b c (Å): 8.017 8.017 14.876
angles (deg): 90.00 90.00 147.03
Element x y z (fractional)
Cs 0.167 0.833 0.750
Cs 0.833 0.167 0.250
Sn 0.000 0.000 0.000
Sn 0.000 0.000 0.500
Sn 0.194 0.806 0.074
Sn 0.194 0.806 0.426
Sn 0.465 0.535 0.646
Sn 0.465 0.535 0.854
Sn 0.535 0.465 0.146
Sn 0.535 0.465 0.354
Sn 0.806 0.194 0.574
Sn 0.806 0.194 0.926
Au 0.119 0.881 0.250
Au 0.372 0.628 0.030
Au 0.372 0.628 0.470
Au 0.628 0.372 0.530
Au 0.628 0.372 0.970
Au 0.881 0.119 0.750

---

Record 6
Below is a relaxed structure of Dy5YHoSc2, with properties calculated at the PBE-GGA level.

Properties
crystal system: orthorhombic
total moment: 0.00 μB/f.u.
final energy: -90.393 eV per cell
space group: No. 36
E_form: 0.17 eV per atom

a b c (Å): 11.025 11.025 9.325
angles (deg): 90.00 90.00 150.68
Element x y z (fractional)
Dy 0.011 0.989 0.500
Dy 0.266 0.734 0.820
Dy 0.306 0.694 0.207
Dy 0.392 0.608 0.534
Dy 0.468 0.532 0.236
Dy 0.532 0.468 0.736
Dy 0.608 0.392 0.034
Dy 0.694 0.306 0.707
Dy 0.734 0.266 0.320
Dy 0.989 0.011 0.000
Y 0.185 0.815 0.505
Y 0.815 0.185 0.005
Ho 0.402 0.598 0.907
Ho 0.598 0.402 0.407
Sc 0.114 0.886 0.813
Sc 0.135 0.865 0.188
Sc 0.865 0.135 0.688
Sc 0.886 0.114 0.313

---

Record 7
Below is a relaxed structure of YLuAgHg, with properties calculated at the PBE-GGA level.

Properties
crystal system: cubic
total moment: 0.00 μB/f.u.
final energy: -15.786 eV per cell
space group: No. 216
E_form: -0.41 eV per atom

a b c (Å): 5.158 5.158 5.158
angles (deg): 60.00 60.00 60.00
Element x y z (fractional)
Y 0.000 0.000 0.000
Lu 0.500 0.500 0.500
Ag 0.250 0.250 0.250
Hg 0.750 0.750 0.750

---

Record 8
Below is a relaxed structure of SrVGe3, with properties calculated at the PBE-GGA level.

Properties
crystal system: cubic
total moment: 3.04 μB/f.u.
final energy: -16.751 eV per cell
space group: No. 221
E_form: 1.58 eV per atom

a b c (Å): 5.451 5.451 5.451
angles (deg): 90.00 90.00 90.00
Element x y z (fractional)
Sr 0.000 0.000 0.000
V 0.500 0.500 0.500
Ge 0.000 0.000 0.500
Ge 0.000 0.500 0.000
Ge 0.500 0.000 0.000

---

Record 9
Below is a relaxed structure of Ac2ScTl3, with properties calculated at the PBE-GGA level.

Properties
crystal system: monoclinic
total moment: 0.00 μB/f.u.
final energy: -23.330 eV per cell
ΔE to the lowest computed polymorph: 0.0 meV per atom
space group: No. 8
E_form: -0.28 eV per atom

a b c (Å): 6.505 6.505 8.116
angles (deg): 123.90 123.90 45.01
Element x y z (fractional)
Ac 0.000 0.000 0.000
Ac 0.113 0.113 0.631
Sc 0.383 0.383 0.226
Tl 0.396 0.396 0.616
Tl 0.696 0.696 0.393
Tl 0.731 0.731 0.034

---

Record 10
Below is a relaxed structure of InGaAg3, with properties calculated at the PBE-GGA level.

Properties
crystal system: monoclinic
total moment: 0.00 μB/f.u.
final energy: -56.272 eV per cell
ΔE to the lowest computed polymorph: 33.5 meV per atom
space group: No. 15
E_form: 0.05 eV per atom

a b c (Å): 8.208 8.208 6.250
angles (deg): 104.44 104.44 80.16
Element x y z (fractional)
In 0.012 0.988 0.750
In 0.292 0.708 0.250
In 0.708 0.292 0.750
In 0.988 0.012 0.250
Ga 0.200 0.607 0.773
Ga 0.393 0.800 0.727
Ga 0.607 0.200 0.273
Ga 0.800 0.393 0.227
Ag 0.044 0.331 0.588
Ag 0.077 0.336 0.064
Ag 0.331 0.044 0.088
Ag 0.336 0.077 0.564
Ag 0.351 0.397 0.451
Ag 0.397 0.351 0.951
Ag 0.603 0.649 0.049
Ag 0.649 0.603 0.549
Ag 0.664 0.923 0.436
Ag 0.669 0.956 0.912
Ag 0.923 0.664 0.936
Ag 0.956 0.669 0.412

---

Record 11
Below is a relaxed structure of Ce4URu5, with properties calculated at the PBE-GGA level.

Properties
crystal system: tetragonal
total moment: 0.07 μB/f.u.
final energy: -83.733 eV per cell
space group: No. 79
E_form: -0.23 eV per atom

a b c (Å): 6.924 6.924 6.924
angles (deg): 98.69 98.69 134.24
Element x y z (fractional)
Ce 0.107 0.683 0.790
Ce 0.317 0.107 0.424
Ce 0.683 0.893 0.576
Ce 0.893 0.317 0.210
U 0.270 0.270 0.000
Ru 0.277 0.439 0.678
Ru 0.439 0.761 0.163
Ru 0.599 0.277 0.837
Ru 0.761 0.599 0.322
Ru 0.853 0.853 0.000

---

Record 12
Below is a relaxed structure of ZnCdCuRu, with properties calculated at the PBE-GGA level.

Properties
crystal system: cubic
total moment: 0.00 μB/f.u.
final energy: -14.918 eV per cell
space group: No. 216
E_form: 0.16 eV per atom

a b c (Å): 4.384 4.384 4.384
angles (deg): 60.00 60.00 60.00
Element x y z (fractional)
Zn 0.000 0.000 0.000
Cd 0.750 0.750 0.750
Cu 0.500 0.500 0.500
Ru 0.250 0.250 0.250